[1]
Entry from the Alexandria database: an optimized crystal structure of SmLuRe4 (PBE).

## Properties
Its symmetry is F-43m (216). For the energy of formation from the pure elements, the calculation gives -82 kJ/mol of formula units. The final energy is -9.980 eV/atom.

a = 5.4230 Å, b = 5.4230 Å, c = 5.4230 Å
α = 60.00°, β = 60.00°, γ = 60.00°
Last column: nearest neighbours and their distance in Å.
Positions (direct):
1 Re 0.6251 0.6251 0.1246  6 Re 2.71
2 Re 0.6251 0.1246 0.6251  6 Re 2.71
3 Re 0.6251 0.6251 0.6251  6 Re 2.71
4 Re 0.1246 0.6251 0.6251  6 Re 2.71
5 Lu 0.0000 0.0000 0.0000  12 Re 3.18, 4 Sm 3.32
6 Sm 0.2500 0.2500 0.2500  12 Re 3.18, 4 Lu 3.32

***

[2]
Entry from the Alexandria database: an optimized crystal structure of SrLu3Re (PBE).

## Properties
Its symmetry is Pm-3m (221). For the energy of formation from the pure elements, the calculation gives 68 kJ/mol of formula units. The final energy is -5.397 eV/atom.

a = 5.4308 Å, b = 5.4308 Å, c = 5.4308 Å
α = 90.00°, β = 90.00°, γ = 90.00°
Last column: nearest neighbours and their distance in Å.
Positions (direct):
1 Re 0.0000 0.0000 0.0000  6 Lu 2.72
2 Lu 0.0000 0.5000 0.0000  2 Re 2.72
3 Lu 0.0000 0.0000 0.5000  2 Re 2.72
4 Lu 0.5000 0.0000 0.0000  2 Re 2.72
5 Sr 0.5000 0.5000 0.5000  12 Lu 3.84